1.
# TiAg3Se4 | Alexandria | PBE-GGA | optimized geometry
data_TiAg3Se4
_cell_length_a 5.988
_cell_length_b 5.988
_cell_length_c 11.927
_cell_angle_alpha 90.00
_cell_angle_beta 90.00
_cell_angle_gamma 90.00
_symmetry_space_group_name_H-M 'I -4 2 m'
_symmetry_Int_Tables_number 121
_symmetry_space_group_name_Hall 'I -4 2'
loop_
_atom_site_label
_atom_site_type_symbol
_atom_site_fract_x
_atom_site_fract_y
_atom_site_fract_z
_atom_site_occupancy
Ti1 Ti 0.000 0.000 0.000 1
Ag1 Ag 0.000 0.000 0.500 1
Ag2 Ag 0.000 0.500 0.250 1
Se1 Se 0.233 0.233 0.884 1
# - excess energy over the best structure of this formula in the dataset (eV/f.u.) = 0.60
# - formation energy (no corrections) (meV per atom) = -386

---

2.
# ZrAl2B2 | Alexandria | PBE-GGA | optimized geometry
data_ZrAl2B2
_cell_length_a 6.827
_cell_length_b 6.827
_cell_length_c 2.756
_cell_angle_alpha 90.00
_cell_angle_beta 90.00
_cell_angle_gamma 90.00
_symmetry_space_group_name_H-M 'P 4/m b m'
_symmetry_Int_Tables_number 127
_symmetry_space_group_name_Hall '-P 4 2ab'
loop_
_atom_site_label
_atom_site_type_symbol
_atom_site_fract_x
_atom_site_fract_y
_atom_site_fract_z
_atom_site_occupancy
Zr1 Zr 0.000 0.000 0.000 1
Al1 Al 0.129 0.371 0.000 1
B1 B 0.171 0.671 0.500 1
# - energy of formation (eV/atom) = 0.44
# - excess energy over the best structure of this formula in the dataset (eV/f.u.) = 3.57

---

3.
# Te4Mo3 | Alexandria | PBE-GGA | optimized geometry
data_Te4Mo3
_cell_length_a 5.3932
_cell_length_b 5.3932
_cell_length_c 6.1065
_cell_angle_alpha 90.00
_cell_angle_beta 90.00
_cell_angle_gamma 120.00
_symmetry_space_group_name_H-M 'P 6/m m m'
_symmetry_Int_Tables_number 191
_symmetry_space_group_name_Hall '-P 6 2'
loop_
_atom_site_label
_atom_site_type_symbol
_atom_site_fract_x
_atom_site_fract_y
_atom_site_fract_z
_atom_site_occupancy
Te1 Te 0.0000 0.0000 0.2398 1
Te2 Te 0.3333 0.6667 0.5000 1
Mo1 Mo 0.0000 0.5000 0.0000 1
# - excess energy over the best structure of this formula in the dataset (eV/f.u.) = 6.73
# - formation energy (no corrections) (meV per atom) = 704

---

4.
# La4CoSb2 | Alexandria | PBE-GGA | optimized geometry
data_La4CoSb2
_cell_length_a 5.009
_cell_length_b 5.009
_cell_length_c 17.534
_cell_angle_alpha 90.00
_cell_angle_beta 90.00
_cell_angle_gamma 90.00
_symmetry_space_group_name_H-M 'I 4/m m m'
_symmetry_Int_Tables_number 139
_symmetry_space_group_name_Hall '-I 4 2'
loop_
_atom_site_label
_atom_site_type_symbol
_atom_site_fract_x
_atom_site_fract_y
_atom_site_fract_z
_atom_site_occupancy
La1 La 0.000 0.000 0.172 1
La2 La 0.000 0.500 0.000 1
Co1 Co 0.000 0.000 0.000 1
Sb1 Sb 0.000 0.000 0.360 1
# - formation energy (no corrections) (meV per atom) = -779

---

5.
# Nd3GdIr | Alexandria | PBE-GGA | optimized geometry
data_Nd3GdIr
_cell_length_a 5.622
_cell_length_b 5.622
_cell_length_c 5.622
_cell_angle_alpha 90.00
_cell_angle_beta 90.00
_cell_angle_gamma 90.00
_symmetry_space_group_name_H-M 'P m -3 m'
_symmetry_Int_Tables_number 221
_symmetry_space_group_name_Hall '-P 4 2 3'
loop_
_atom_site_label
_atom_site_type_symbol
_atom_site_fract_x
_atom_site_fract_y
_atom_site_fract_z
_atom_site_occupancy
Nd1 Nd 0.000 0.000 0.500 1
Gd1 Gd 0.500 0.500 0.500 1
Ir1 Ir 0.000 0.000 0.000 1
# - energy of formation (eV/atom) = -0.15

---

6.
# KEr2CuSe4 | Alexandria | PBE-GGA | optimized geometry
data_KEr2CuSe4
_cell_length_a 4.090
_cell_length_b 14.000
_cell_length_c 14.310
_cell_angle_alpha 90.00
_cell_angle_beta 90.00
_cell_angle_gamma 90.00
_symmetry_space_group_name_H-M 'C m c m'
_symmetry_Int_Tables_number 63
_symmetry_space_group_name_Hall '-C 2c 2'
loop_
_atom_site_label
_atom_site_type_symbol
_atom_site_fract_x
_atom_site_fract_y
_atom_site_fract_z
_atom_site_occupancy
K1 K 0.000 0.113 0.250 1
Er1 Er 0.000 0.366 0.065 1
Cu1 Cu 0.000 0.160 0.750 1
Se1 Se 0.000 0.000 0.000 1
Se2 Se 0.000 0.265 0.611 1
Se3 Se 0.000 0.436 0.250 1
# - formation energy (no corrections) (meV per atom) = -1503